Material: Ta2RhPb
Method: DFT, PBE
State: relaxed

CIF file:
```
data_Ta2RhPb
_chemical_formula_sum 'Ta4 Rh2 Pb2'
_symmetry_space_group_name_H-M 'C 1 m 1'
_symmetry_Int_Tables_number 8
_cell_length_a 10.151
_cell_length_b 3.101
_cell_length_c 5.083
_cell_angle_alpha 90.00
_cell_angle_beta 108.79
_cell_angle_gamma 90.00
loop_
_symmetry_equiv_pos_as_xyz
'x,y,z'
'x,-y,z'
'x+1/2,y+1/2,z'
'x+1/2,-y+1/2,z'
loop_
_atom_site_label
_atom_site_type_symbol
_atom_site_fract_x
_atom_site_fract_y
_atom_site_fract_z
Ta1 Ta 0.000 0.000 0.000
Ta2 Ta 0.246 0.500 0.250
Rh1 Rh 0.468 0.000 0.437
Pb1 Pb 0.220 0.000 0.727
```

Output
Raw total energy in eV per formula unit: -34.01
E_form in meV/atom: 189